Crystalline Ce2PmPu3Se6 at its relaxed geometry, computed with GGA-PBE.

Results
Total DFT energy (no corrections), eV/atom: -8.3972

a = 9.3300 Å, b = 9.3300 Å, c = 8.3670 Å
α = 102.82°, β = 102.82°, γ = 25.82°
With the nearest neighbours (Å) after each atom.
Element x y z (fractional)
1 Ce 0.1659 0.1659 0.3316  6 Se 2.97-2.99
2 Ce 0.8340 0.8340 0.6684  6 Se 2.97-2.99
3 Pm 0.5000 0.5000 0.0000  6 Se 2.97
4 Pu 0.1669 0.1669 0.8329  6 Se 2.93
5 Pu 0.5000 0.5000 0.5000  6 Se 2.93
6 Pu 0.8331 0.8331 0.1671  6 Se 2.93
7 Se 0.0017 0.0017 0.7473  3 Pu 2.93, 1 Ce 2.97, 2 Pm 2.97
8 Se 0.3323 0.3323 0.9212  3 Pu 2.93, 1 Pm 2.97, 2 Ce 2.98
9 Se 0.3347 0.3347 0.4134  3 Pu 2.93, 3 Ce 2.98-2.99
10 Se 0.6653 0.6653 0.5866  3 Pu 2.93, 3 Ce 2.98-2.99
11 Se 0.6677 0.6677 0.0788  3 Pu 2.93, 1 Pm 2.97, 2 Ce 2.98
12 Se 0.9983 0.9983 0.2527  3 Pu 2.93, 1 Ce 2.97, 2 Pm 2.97